Entry 1:
Material: K2Pd2C
Method: DFT, PBE-GGA
State: relaxed

Cell lengths 5.635, 5.635, 5.635 Å; angles 109.44, 109.44, 109.54 degrees
Element x y z (fractional)
K  0.250  0.750  0.500
K  0.750  0.250  0.500
Pd  0.214  0.214  0.000
Pd  0.786  0.786  0.000
C  0.500  0.500  0.000

**Space-group type**: I4/mmm
**Magnetization**: 0.00 μB per formula unit
**Formation energy from the elements**: 59.41 kJ/mol of atoms
**V**: 137.73 Å³/f.u.

Entry 2:
Material: Pm2SmEr9
Method: DFT, PBE-GGA
State: relaxed

Cell lengths 5.005, 5.005, 15.014 Å; angles 90.00, 90.00, 90.00 degrees
Element x y z (fractional)
Pm  0.000  0.000  0.167
Pm  0.000  0.000  0.833
Sm  0.000  0.000  0.500
Er  0.000  0.500  0.000
Er  0.000  0.500  0.334
Er  0.000  0.500  0.666
Er  0.500  0.000  0.000
Er  0.500  0.000  0.334
Er  0.500  0.000  0.666
Er  0.500  0.500  0.167
Er  0.500  0.500  0.500
Er  0.500  0.500  0.833

**Space-group type**: P4/mmm
**Magnetization**: 0.00 μB per formula unit
**Formation energy from the elements**: 2.27 kJ/mol of atoms
**V**: 376.13 Å³/f.u.

Entry 3:
Material: HoAlF5
Method: DFT, PBE-GGA
State: relaxed

Cell lengths 5.696, 5.696, 7.508 Å; angles 117.94, 117.94, 69.53 degrees
Element x y z (fractional)
Ho  0.059  0.941  0.750
Ho  0.941  0.059  0.250
Al  0.500  0.500  0.000
Al  0.500  0.500  0.500
F  0.205  0.771  0.032
F  0.229  0.795  0.468
F  0.266  0.274  0.329
F  0.274  0.266  0.829
F  0.436  0.564  0.750
F  0.564  0.436  0.250
F  0.726  0.734  0.171
F  0.734  0.726  0.671
F  0.771  0.205  0.532
F  0.795  0.229  0.968

**Space-group type**: C2/c
**Magnetization**: 0.76 μB per formula unit
**V**: 93.73 Å³/f.u.
**VASP energy**: -5.88 eV per atom

Entry 4:
Material: Au3BrO
Method: DFT, PBE-GGA
State: relaxed

Cell lengths 5.090, 5.090, 5.090 Å; angles 90.00, 90.00, 90.00 degrees
Element x y z (fractional)
Au  0.000  0.000  0.500
Au  0.000  0.500  0.000
Au  0.500  0.000  0.000
Br  0.000  0.000  0.000
O  0.500  0.500  0.500

**Space-group type**: Pm-3m
**Magnetization**: 0.00 μB per formula unit
**V**: 131.90 Å³/f.u.
**VASP energy**: -1.96 eV per atom

Entry 5:
Material: Nd6Tm3Sc2
Method: DFT, PBE-GGA
State: relaxed

Cell lengths 6.178, 6.178, 11.256 Å; angles 95.25, 95.25, 120.05 degrees
Element x y z (fractional)
Nd  0.080  0.411  0.238
Nd  0.251  0.251  0.762
Nd  0.411  0.080  0.238
Nd  0.589  0.920  0.762
Nd  0.749  0.749  0.238
Nd  0.920  0.589  0.762
Tm  0.167  0.833  0.500
Tm  0.500  0.500  0.500
Tm  0.833  0.167  0.500
Sc  0.333  0.667  0.000
Sc  0.667  0.333  0.000

**Space-group type**: C2/m
**Magnetization**: 0.00 μB per formula unit
**Formation energy from the elements**: 18.44 kJ/mol of atoms
**V**: 365.56 Å³/f.u.

Entry 6:
Material: TbAg2F8
Method: DFT, PBE-GGA
State: relaxed

Cell lengths 7.030, 7.030, 4.195 Å; angles 90.00, 90.00, 120.00 degrees
Element x y z (fractional)
Tb  0.000  0.000  0.000
Ag  0.333  0.667  0.737
Ag  0.667  0.333  0.263
F  0.156  0.313  0.736
F  0.158  0.844  0.736
F  0.313  0.158  0.264
F  0.333  0.667  0.236
F  0.667  0.333  0.764
F  0.687  0.842  0.736
F  0.842  0.156  0.264
F  0.844  0.687  0.264

**Space-group type**: P-3
**Magnetization**: 1.12 μB per formula unit
**V**: 179.57 Å³/f.u.
**VASP energy**: -4.31 eV per atom